A geometry-optimized YUTe2C structure. Source: Alexandria, functional PBE-GGA.

Calculated total energy ... -7.417 eV/atom
Formation energy from raw total energies ... -0.765 eV/atom

a = 4.0591 Å, b = 4.0591 Å, c = 15.9290 Å
α = 90.00°, β = 90.00°, γ = 90.00°
Space group P4/nmm (No. 129, origin choice 2)
Inequivalent atoms, fractional coordinates:
Y 0.2500 0.2500 0.1367
U 0.2500 0.2500 0.5691
Te 0.2500 0.2500 0.3228
Te 0.2500 0.2500 0.9178
C 0.2500 0.7500 0.5000